A plane-wave DFT calculation with PBE was carried out for a relaxed structure of HgRuPt2.

As for the total DFT energy (no corrections): -5.077 eV per atom.

The space group is F-43m (No. 216) and the conventional cell measures 6.441, 6.441 and 6.441 Å, with angles of 90.00, 90.00 and 90.00 degrees. Symmetry generates all atoms from Hg at (0.000, 0.000, 0.000), Ru at (0.250, 0.250, 0.250), Pt at (0.000, 0.000, 0.500) and Pt at (0.250, 0.250, 0.750).

A plane-wave DFT calculation with PBE was carried out for a relaxed structure of HgRuPt2.

As for the total DFT energy (no corrections): -5.181 eV per atom.

The space group is Pmm2 (No. 25) and the conventional cell measures 2.817, 4.658 and 5.029 Å, with angles of 90.00, 90.00 and 90.00 degrees. Symmetry generates all atoms from Hg at (0.000, 0.000, 0.000), Ru at (0.000, 0.500, 0.355), Pt at (0.500, 0.000, 0.488) and Pt at (0.500, 0.500, 0.818).

A plane-wave DFT calculation with PBE was carried out for a relaxed structure of HgRuPt2.

As for the total DFT energy (no corrections): -5.231 eV per atom.

The space group is P4mm (No. 99) and the conventional cell measures 2.850, 2.850 and 8.118 Å, with angles of 90.00, 90.00 and 90.00 degrees. Symmetry generates all atoms from Hg at (0.000, 0.000, 0.000), Ru at (0.500, 0.500, 0.734), Pt at (0.000, 0.000, 0.518) and Pt at (0.500, 0.500, 0.273).

A plane-wave DFT calculation with PBE was carried out for a relaxed structure of Hg2RuPt.

As for the total DFT energy (no corrections): -3.592 eV per atom. The excess energy over the best structure of this formula in the dataset comes out at 0.092 eV per atom.

The space group is P2/m (No. 10) and the conventional cell measures 4.979, 2.919 and 5.258 Å, with angles of 90.00, 111.04 and 90.00 degrees. Symmetry generates all atoms from Hg at (0.000, 0.000, 0.000), Hg at (0.000, 0.500, 0.500), Ru at (0.500, 0.000, 0.500) and Pt at (0.500, 0.500, 0.000).

Energy relative to the elements readings, ordered: 33 23 18 37 kJ per mole of atoms